Here is a relaxed structure of TiGaAg2 from Alexandria via LeMat-Bulk. Energies are from GGA-PBE.

The structure belongs to space group P4/mmm (No. 123); the cell edges are 3.959, 3.959 and 4.397 Å and the angles 90.00°, 90.00° and 90.00°. The asymmetric unit holds Ti at (0.000, 0.000, 0.000), Ga at (0.500, 0.500, 0.000) and Ag at (0.000, 0.500, 0.500).

Its crystal system is tetragonal. As for the formation energy from the elements: -20 meV/atom. The value obtained for the calculated total energy is -4.176 eV/atom. The value obtained for the mass density is 8030 kg/m³. The size of the total moment is 0.14 μB/atom. The value obtained for the calculated volume is 68.93 Å³ per cell.